Compound: Nd2ScP
Source: Alexandria
Functional: PBE
Structure: relaxed

The energy relative to the elements comes out at -0.36 eV per atom. For the total magnetization, the calculation gives 0.00 μB/cell. As for the calculated density: 4.82 g/cm³.

The space group is R-3m (No. 166, hexagonal axes) and the conventional cell measures 3.8135, 3.8135 and 29.9296 Å, with angles of 90.00, 90.00 and 120.00 degrees. Symmetry generates all atoms from Nd at (0.0000, 0.0000, 0.1096), Sc at (0.0000, 0.0000, 0.0000) and P at (0.0000, 0.0000, 0.5000).